# 1
Compound: HfTePbCl2
Source: Alexandria via LeMat-Bulk
Functional: GGA-PBE
Structure: relaxed

a b c (Å): 5.3457 5.6943 5.3457
angles (deg): 90.00 90.00 90.00
With the nearest neighbours (Å) after each atom.
Positions (direct):
Hf1 0.0000 0.5000 0.0000  2 Te 2.85
Pb1 0.5000 0.5000 0.5000  4 Hf 3.78, 8 Cl 3.91
Cl1 0.5000 0.0000 0.0000  2 Te 2.67
Te1 0.0000 0.0000 0.0000  4 Cl 2.67, 2 Hf 2.85
Cl2 0.0000 0.0000 0.5000  2 Te 2.67

Results
Formation energy without anion corrections   0.3710 eV per atom

=====

# 2
Compound: Ca2AsRu
Source: Alexandria via LeMat-Bulk
Functional: GGA-PBE
Structure: relaxed

a b c (Å): 4.5445 4.5445 4.0518
angles (deg): 90.00 90.00 90.15
With the nearest neighbours (Å) after each atom.
Positions (direct):
Ca1 0.5000 0.5000 0.0000  4 As 3.04, 4 Ru 3.04, 4 Ca 3.21-3.22
Ca2 0.0000 0.0000 0.0000  4 Ru 3.04, 4 As 3.04, 4 Ca 3.21-3.22
As1 0.0000 0.5000 0.5000  8 Ca 3.04, 4 Ru 3.21-3.22
Ru1 0.5000 0.0000 0.5000  8 Ca 3.04, 4 As 3.21-3.22

Results
DFT formation energy   -0.2167 eV/atom

=====

# 3
Compound: LiTbRh4
Source: Alexandria via LeMat-Bulk
Functional: GGA-PBE
Structure: relaxed

a b c (Å): 5.2390 5.2390 5.2390
angles (deg): 60.00 60.00 60.00
With the nearest neighbours (Å) after each atom.
Positions (direct):
Rh1 0.6254 0.1239 0.6254  6 Rh 2.61-2.63
Tb1 0.2500 0.2500 0.2500  12 Rh 3.07, 4 Li 3.21
Rh2 0.6254 0.6254 0.1239  6 Rh 2.61-2.63
Rh3 0.1239 0.6254 0.6254  6 Rh 2.61-2.63
Li1 0.0000 0.0000 0.0000  12 Rh 3.07, 4 Tb 3.21
Rh4 0.6254 0.6254 0.6254  6 Rh 2.61-2.63

Results
DFT formation energy   -0.4350 eV/atom

=====

# 4
Compound: KRb2Hg4
Source: Alexandria via LeMat-Bulk
Functional: GGA-PBE
Structure: relaxed

a b c (Å): 7.8892 6.9845 10.9939
angles (deg): 108.52 101.77 90.00
With the nearest neighbours (Å) after each atom.
Positions (direct):
Rb1 0.6524 0.6084 0.3815  7 Hg 3.65-3.85
Rb2 0.8476 0.2269 0.6185  7 Hg 3.65-3.85
Hg1 0.9983 0.2248 0.3065  2 Hg 3.11-3.12
Hg2 0.7568 0.8384 0.1452  3 Hg 3.01-3.12
K1 0.7500 0.2690 0.0000  8 Hg 3.64-3.97
Hg3 0.2432 0.1616 0.8548  3 Hg 3.01-3.12
Rb3 0.3476 0.3916 0.6185  7 Hg 3.65-3.85
Hg4 0.4983 0.0817 0.3065  2 Hg 3.11-3.12
Rb4 0.1524 0.7731 0.3815  7 Hg 3.65-3.85
Hg5 0.0017 0.7752 0.6935  2 Hg 3.11-3.12
K2 0.2500 0.7310 0.0000  8 Hg 3.64-3.97
Hg6 0.7432 0.6932 0.8548  3 Hg 3.01-3.12
Hg7 0.5017 0.9183 0.6935  2 Hg 3.11-3.12
Hg8 0.2568 0.3068 0.1452  3 Hg 3.01-3.12

Results
DFT formation energy   -0.2158 eV/atom
Energy above the most stable polymorph in this dataset   0 meV/atom

=====

# 5
Compound: TbErNi
Source: Alexandria via LeMat-Bulk
Functional: GGA-PBE
Structure: relaxed

a b c (Å): 6.9568 6.6926 7.8292
angles (deg): 90.00 55.29 90.00
With the nearest neighbours (Å) after each atom.
Positions (direct):
Er1 0.2992 0.3143 0.6997  3 Ni 2.78-2.82
Ni1 0.6573 0.9594 0.0504  1 Ni 2.77, 3 Er 2.78-2.82, 4 Tb 2.80-2.86
Er2 0.7008 0.6857 0.3003  3 Ni 2.78-2.82
Tb1 0.8780 0.1858 0.2007  4 Ni 2.80-2.86
Er3 0.7992 0.1857 0.6997  3 Ni 2.78-2.82
Er4 0.2008 0.8143 0.3003  3 Ni 2.78-2.82
Ni2 0.3427 0.0406 0.9496  1 Ni 2.77, 3 Er 2.78-2.82, 4 Tb 2.80-2.86
Ni3 0.8427 0.4594 0.9496  1 Ni 2.77, 3 Er 2.78-2.82, 4 Tb 2.80-2.86
Tb2 0.6220 0.6858 0.7993  4 Ni 2.80-2.86
Ni4 0.1573 0.5406 0.0504  1 Ni 2.77, 3 Er 2.78-2.82, 4 Tb 2.80-2.86
Tb3 0.1220 0.8142 0.7993  4 Ni 2.80-2.86
Tb4 0.3780 0.3142 0.2007  4 Ni 2.80-2.86

Results
DFT formation energy   -0.2347 eV/atom
Energy above the most stable polymorph in this dataset   60 meV/atom

=====

# 6
Compound: Tm3Ga5Ni6
Source: Alexandria via LeMat-Bulk
Functional: GGA-PBE
Structure: relaxed

a b c (Å): 4.0879 8.9206 11.9887
angles (deg): 90.00 90.00 90.00
With the nearest neighbours (Å) after each atom.
Positions (direct):
Ga1 0.5000 0.0894 0.8270  5 Ni 2.44-2.58
Ni1 0.5000 0.3640 0.1627  4 Ga 2.44-2.63, 1 Ni 2.52
Tm1 0.5000 0.7481 0.8066  6 Ni 2.84-2.96, 8 Ga 2.97-3.09
Ni2 0.5000 0.0377 0.6153  4 Ga 2.43-2.58, 2 Ni 2.48
Ni3 0.0000 0.6360 0.6627  4 Ga 2.44-2.63, 1 Ni 2.52
Ni4 0.0000 0.9623 0.8847  4 Ga 2.43-2.58, 2 Ni 2.48
Tm2 0.5000 0.7687 0.5000  6 Ni 2.77-3.06, 2 Ga 3.00
Ni5 0.0000 0.6360 0.3373  4 Ga 2.44-2.63, 1 Ni 2.52
Ga2 0.0000 0.5106 0.1388  5 Ni 2.44-2.65, 1 Ga 2.63
Ga3 0.0000 0.5106 0.8612  5 Ni 2.44-2.65, 1 Ga 2.63
Ga4 0.5000 0.4894 0.3612  5 Ni 2.44-2.65, 1 Ga 2.63
Ni6 0.0000 0.4575 0.5000  2 Ni 2.52, 6 Ga 2.65-2.69
Ga5 0.0000 0.9106 0.6730  5 Ni 2.44-2.58
Tm3 0.0000 0.2313 0.0000  6 Ni 2.77-3.06, 2 Ga 3.00
Ga6 0.0000 0.7388 0.0000  6 Ni 2.43-2.69, 2 Ga 2.63
Tm4 0.5000 0.7481 0.1934  6 Ni 2.84-2.96, 8 Ga 2.97-3.09
Ni7 0.5000 0.5425 0.0000  2 Ni 2.52, 6 Ga 2.65-2.69
Tm5 0.0000 0.2519 0.3066  6 Ni 2.84-2.96, 8 Ga 2.97-3.09
Tm6 0.0000 0.2519 0.6934  6 Ni 2.84-2.96, 8 Ga 2.97-3.09
Ga7 0.5000 0.2612 0.5000  6 Ni 2.43-2.69, 2 Ga 2.63
Ga8 0.5000 0.0894 0.1730  5 Ni 2.44-2.58
Ga9 0.5000 0.4894 0.6388  5 Ni 2.44-2.65, 1 Ga 2.63
Ni8 0.5000 0.9321 0.0000  4 Ni 2.48, 4 Ga 2.50-2.67
Ni9 0.5000 0.0377 0.3847  4 Ga 2.43-2.58, 2 Ni 2.48
Ni10 0.0000 0.9623 0.1153  4 Ga 2.43-2.58, 2 Ni 2.48
Ni11 0.5000 0.3640 0.8373  4 Ga 2.44-2.63, 1 Ni 2.52
Ni12 0.0000 0.0679 0.5000  4 Ni 2.48, 4 Ga 2.50-2.67
Ga10 0.0000 0.9106 0.3270  5 Ni 2.44-2.58

Results
DFT formation energy   -0.5854 eV/atom

=====

Calculated N(E_F), 4.4; 3.5; 7.8; 3.2; 2.9; 6.8 states/eV/f.u. (same order as the records).
Calculated DFT total energy, -18.64; -18.80; -38.56; -11.50; -62.71; -142.86 eV per cell (same order as the records).